# Ho12Ge3O5 | the Alexandria database | GGA-PBE | relaxed
# * crystal system: cubic
# * total moment: 0.0 μB per formula unit
# * formation energy from raw total energies: -1.68 eV/atom
# * E_tot: -6.36 eV/atom
data_Ho12Ge3O5
_chemical_formula_sum 'Ho48 Ge12 O20'
_symmetry_space_group_name_H-M 'P 1'
_symmetry_Int_Tables_number 1
_symmetry_space_group_name_Hall 'P 1'
_cell_length_a 13.1193
_cell_length_b 13.1193
_cell_length_c 13.1193
_cell_angle_alpha 109.47
_cell_angle_beta 109.47
_cell_angle_gamma 109.47
loop_
_atom_site_label
_atom_site_fract_x
_atom_site_fract_y
_atom_site_fract_z
Ho1 0.0158 0.2023 0.1129
Ho2 0.0158 0.3135 0.9029
Ho3 0.0894 0.7023 0.6865
Ho4 0.0894 0.8871 0.4029
Ho5 0.0971 0.6129 0.4106
Ho6 0.0971 0.9842 0.6865
Ho7 0.1129 0.0158 0.2023
Ho8 0.1129 0.5971 0.9106
Ho9 0.1865 0.2023 0.5894
Ho10 0.1865 0.4842 0.5971
Ho11 0.2023 0.1129 0.0158
Ho12 0.2023 0.5894 0.1865
Ho13 0.2977 0.3135 0.9106
Ho14 0.2977 0.4842 0.3871
Ho15 0.3135 0.9029 0.0158
Ho16 0.3135 0.9106 0.2977
Ho17 0.3871 0.2977 0.4842
Ho18 0.3871 0.5894 0.9029
Ho19 0.4029 0.0894 0.8871
Ho20 0.4029 0.8135 0.5158
Ho21 0.4106 0.0971 0.6129
Ho22 0.4106 0.8135 0.7977
Ho23 0.4842 0.3871 0.2977
Ho24 0.4842 0.5971 0.1865
Ho25 0.5158 0.4029 0.8135
Ho26 0.5158 0.6129 0.7023
Ho27 0.5894 0.1865 0.2023
Ho28 0.5894 0.9029 0.3871
Ho29 0.5971 0.1865 0.4842
Ho30 0.5971 0.9106 0.1129
Ho31 0.6129 0.4106 0.0971
Ho32 0.6129 0.7023 0.5158
Ho33 0.6865 0.0894 0.7023
Ho34 0.6865 0.0971 0.9842
Ho35 0.7023 0.5158 0.6129
Ho36 0.7023 0.6865 0.0894
Ho37 0.7977 0.4106 0.8135
Ho38 0.7977 0.8871 0.9842
Ho39 0.8135 0.5158 0.4029
Ho40 0.8135 0.7977 0.4106
Ho41 0.8871 0.4029 0.0894
Ho42 0.8871 0.9842 0.7977
Ho43 0.9029 0.0158 0.3135
Ho44 0.9029 0.3871 0.5894
Ho45 0.9106 0.1129 0.5971
Ho46 0.9106 0.2977 0.3135
Ho47 0.9842 0.6865 0.0971
Ho48 0.9842 0.7977 0.8871
Ge1 0.1250 0.2500 0.3750
Ge2 0.1250 0.3750 0.7500
Ge3 0.2500 0.3750 0.1250
Ge4 0.2500 0.8750 0.6250
Ge5 0.3750 0.1250 0.2500
Ge6 0.3750 0.7500 0.1250
Ge7 0.6250 0.2500 0.8750
Ge8 0.6250 0.8750 0.7500
Ge9 0.7500 0.1250 0.3750
Ge10 0.7500 0.6250 0.8750
Ge11 0.8750 0.6250 0.2500
Ge12 0.8750 0.7500 0.6250
O1 0.0000 0.0000 0.0000
O2 0.0000 0.0000 0.5000
O3 0.0000 0.5000 0.0000
O4 0.0000 0.5000 0.5000
O5 0.1250 0.7500 0.8750
O6 0.1250 0.8750 0.2500
O7 0.2500 0.1250 0.8750
O8 0.2500 0.6250 0.3750
O9 0.3750 0.2500 0.6250
O10 0.3750 0.6250 0.7500
O11 0.5000 0.0000 0.0000
O12 0.5000 0.0000 0.5000
O13 0.5000 0.5000 0.0000
O14 0.5000 0.5000 0.5000
O15 0.6250 0.3750 0.2500
O16 0.6250 0.7500 0.3750
O17 0.7500 0.3750 0.6250
O18 0.7500 0.8750 0.1250
O19 0.8750 0.1250 0.7500
O20 0.8750 0.2500 0.1250